Record 1
DFT (PBEsol) results for a geometry-optimized ZnTe2SeN structure.

## Properties
For the theoretical density, the calculation gives 5.99 g cm⁻³. As for the formation energy without anion corrections: 87.6 kJ per mole of atoms. The energy comes out at -3.2946 eV/atom.

Structure (POSCAR):
```
ZnTe2SeN
1.0
5.6257 0.0000 0.0000
0.0000 5.6257 0.0000
0.0000 0.0000 3.6210
Zn Te Se N
1 2 1 1
direct
0.0000 0.0000 0.0000
0.0000 0.5000 0.5000
0.5000 0.0000 0.5000
0.5000 0.5000 0.5000
0.5000 0.5000 0.0000
```

=====

Record 2
DFT (PBEsol) results for a geometry-optimized Th2SeN2 structure.

## Properties
For the theoretical density, the calculation gives 9.61 g cm⁻³. As for the formation energy without anion corrections: -194.9 kJ per mole of atoms. The energy comes out at -9.4429 eV/atom.

Structure (POSCAR):
```
Th2SeN2
1.0
4.0052 0.0000 0.0000
-2.0026 3.4686 0.0000
0.0000 0.0000 7.1043
Th Se N
2 1 2
direct
0.3333 0.6667 0.2951
0.6667 0.3333 0.7049
0.0000 0.0000 0.0000
0.3333 0.6667 0.6269
0.6667 0.3333 0.3731
```

=====

Record 3
DFT (PBEsol) results for a geometry-optimized TiWSeN2 structure.

## Properties
For the theoretical density, the calculation gives 7.35 g cm⁻³. As for the formation energy without anion corrections: 13.2 kJ per mole of atoms. The energy comes out at -8.4696 eV/atom.

Structure (POSCAR):
```
TiWSeN2
1.0
3.8746 0.0000 0.0000
0.0000 3.8746 0.0000
0.0000 0.0000 5.0935
Ti W Se N
1 1 1 2
direct
0.0000 0.0000 0.0000
0.5000 0.5000 0.5000
0.5000 0.5000 0.0000
0.0000 0.5000 0.5000
0.5000 0.0000 0.5000
```

=====

Record 4
DFT (PBEsol) results for a geometry-optimized YTiSe2N structure.

## Properties
For the theoretical density, the calculation gives 5.43 g cm⁻³. As for the formation energy without anion corrections: -99.6 kJ per mole of atoms. The energy comes out at -7.3065 eV/atom.

Structure (POSCAR):
```
YTiSe2N
1.0
4.9993 0.0000 0.0000
0.0000 4.9993 0.0000
0.0000 0.0000 3.7757
Y Ti Se N
1 1 2 1
direct
0.0000 0.0000 0.0000
0.5000 0.5000 0.5000
0.0000 0.5000 0.5000
0.5000 0.0000 0.5000
0.5000 0.5000 0.0000
```

=====

Record 5
DFT (PBEsol) results for a geometry-optimized ZrTiSeN2 structure.

## Properties
For the theoretical density, the calculation gives 4.69 g cm⁻³. As for the formation energy without anion corrections: 8.3 kJ per mole of atoms. The energy comes out at -7.5772 eV/atom.

Structure (POSCAR):
```
ZrTiSeN2
1.0
4.0597 0.0000 0.0000
0.0000 4.0597 0.0000
0.0000 0.0000 5.2915
Zr Ti Se N
1 1 1 2
direct
0.0000 0.0000 0.0000
0.5000 0.5000 0.5000
0.0000 0.0000 0.5000
0.0000 0.5000 0.0000
0.5000 0.0000 0.0000
```

=====

Record 6
DFT (PBEsol) results for a geometry-optimized TlSe2N structure.

## Properties
For the theoretical density, the calculation gives 7.12 g cm⁻³. As for the formation energy without anion corrections: 53.8 kJ per mole of atoms. The energy comes out at -4.1568 eV/atom.

Structure (POSCAR):
```
TlSe2N
1.0
6.6548 0.0000 0.0000
0.0000 6.6548 0.0000
0.0000 0.0000 7.9253
Tl Se N
4 8 4
direct
0.0000 0.0000 0.0000
0.0000 0.5000 0.2500
0.5000 0.0000 0.7500
0.5000 0.5000 0.5000
0.1157 0.2500 0.6250
0.2500 0.6157 0.8750
0.2500 0.8843 0.3750
0.3843 0.2500 0.1250
0.6157 0.7500 0.1250
0.7500 0.1157 0.3750
0.7500 0.3843 0.8750
0.8843 0.7500 0.6250
0.0000 0.0000 0.5000
0.0000 0.5000 0.7500
0.5000 0.0000 0.2500
0.5000 0.5000 0.0000
```

=====

Record 7
DFT (PBEsol) results for a geometry-optimized TlSe2N2 structure.

## Properties
For the theoretical density, the calculation gives 6.22 g cm⁻³. As for the formation energy without anion corrections: 177.3 kJ per mole of atoms. The energy comes out at -3.6388 eV/atom.

Structure (POSCAR):
```
TlSe2N2
1.0
4.1919 0.0000 0.0000
0.0000 4.1919 0.0000
0.0000 0.0000 5.9310
Tl Se N
1 2 2
direct
0.0000 0.0000 0.0000
0.0000 0.0000 0.5000
0.5000 0.5000 0.5000
0.0000 0.5000 0.0000
0.5000 0.0000 0.0000
```

=====

Record 8
DFT (PBEsol) results for a geometry-optimized ZrTlSeN2 structure.

## Properties
For the theoretical density, the calculation gives 7.43 g cm⁻³. As for the formation energy without anion corrections: 126.3 kJ per mole of atoms. The energy comes out at -5.2156 eV/atom.

Structure (POSCAR):
```
ZrTlSeN2
1.0
4.1144 0.0000 0.0000
0.0000 4.1144 0.0000
0.0000 0.0000 5.3161
Zr Tl Se N
1 1 1 2
direct
0.0000 0.0000 0.0000
0.5000 0.5000 0.5000
0.5000 0.5000 0.0000
0.0000 0.5000 0.5000
0.5000 0.0000 0.5000
```